DFT (PBE) results for NaMnIrCl2 after structural relaxation.

```
data_NaMnIrCl2
_cell_length_a 4.841
_cell_length_b 4.841
_cell_length_c 4.731
_cell_angle_alpha 90.00
_cell_angle_beta 90.00
_cell_angle_gamma 90.00
_space_group_name_H-M_alt 'P 4/m m m'
_space_group_IT_number 123
_space_group_name_Hall '-P 4 2'
loop_
_atom_site_label
_atom_site_type_symbol
_atom_site_fract_x
_atom_site_fract_y
_atom_site_fract_z
Na1 Na 0.000 0.000 0.000
Mn1 Mn 0.500 0.500 0.500
Ir1 Ir 0.500 0.500 0.000
Cl1 Cl 0.000 0.500 0.500
```

Properties
Uncorrected energy in eV for the cell shown: -22.66
N(E_F) in states/eV/cell: 4.330
Theoretical density in Mg/m³: 5.108
Magnetization in μB/f.u.: 2.67